Computed, not measured: crystalline AlTlRh2 at its relaxed geometry at the PBE level of DFT.

Calculated values
E_tot: -0.41708 Ry/atom
ρ: 11.40 Mg/m³
Symmetry: P4/mmm (123)
Spin magnetization: 0.00 Bohr magnetons per cell

abc: 3.0231 3.0227 7.5988
angles: 66.54 90.00 90.00
Positions (direct):
Tl1 0.5000 0.2500 0.2500
Rh1 0.0000 0.0387 0.9615
Rh2 0.0000 0.4613 0.5385
Al1 0.5000 0.7500 0.7500